# NpGeTe2N, optimized geometry, DFT GGA-PBE
data_NpGeTe2N
_chemical_formula_sum 'Np2 Ge2 Te4 N2'
_cell_length_a 3.916
_cell_length_b 3.916
_cell_length_c 16.012
_cell_angle_alpha 90.00
_cell_angle_beta 90.00
_cell_angle_gamma 90.00
_space_group_name_H-M_alt 'P 4/n m m'
_space_group_IT_number 129
loop_
_space_group_symop_operation_xyz
'x,y,z'
'-x,-y,-z'
'-y+1/2,x,z'
'y+1/2,-x,-z'
'-x+1/2,-y+1/2,z'
'x+1/2,y+1/2,-z'
'y,-x+1/2,z'
'-y,x+1/2,-z'
'x+1/2,-y,-z'
'-x+1/2,y,z'
'-y,-x,-z'
'y,x,z'
'-x,y+1/2,-z'
'x,-y+1/2,z'
'y+1/2,x+1/2,-z'
'-y+1/2,-x+1/2,z'
loop_
_atom_site_label
_atom_site_type_symbol
_atom_site_fract_x
_atom_site_fract_y
_atom_site_fract_z
Np1 Np 0.250 0.250 0.070
Ge1 Ge 0.250 0.250 0.650
Te1 Te 0.250 0.250 0.395
Te2 Te 0.250 0.250 0.820
N1 N 0.250 0.750 0.000
# Volume ... 24.555 A^3/atom
# Formation energy from raw total energies ... -0.62 eV/atom
# DFT total energy ... -0.259 hartree per atom



# CePH2Pd2, optimized geometry, DFT GGA-PBE
data_CePH2Pd2
_chemical_formula_sum 'Ce4 P4 H8 Pd8'
_cell_length_a 5.686
_cell_length_b 10.502
_cell_length_c 5.503
_cell_angle_alpha 90.00
_cell_angle_beta 90.00
_cell_angle_gamma 90.00
_space_group_name_H-M_alt 'C m c m'
_space_group_IT_number 63
_space_group_name_Hall '-C 2c 2'
loop_
_atom_site_label
_atom_site_type_symbol
_atom_site_fract_x
_atom_site_fract_y
_atom_site_fract_z
Ce1 Ce 0.000 0.236 0.250
P1 P 0.000 0.341 0.750
H1 H 0.198 0.101 0.750
Pd1 Pd 0.248 0.000 0.000
# Volume ... 13.695 A^3/atom
# DFT total energy ... -0.195 hartree per atom